{
  "formula": "ReHg2Te",
  "functional": "PBE",
  "state": "relaxed",
  "formation_energy_uncorrected_ev_per_atom": 0.948,
  "polymorph_energy_kj_per_mol_fu": 210,
  "space_group": "Cmmm, No. 65",
  "magnetic_moment_mub_per_cell": 0.000,
  "lattice_angstrom": [[5.570, 0.016, 0.000], [-2.219, 5.109, 0.000], [0.000, 0.000, 2.960]],
  "species": ["Hg", "Hg", "Re", "Te"],
  "frac_coords": [[0.000, 0.000, 0.000], [0.500, 0.500, 0.000], [0.500, 0.000, 0.500], [0.000, 0.500, 0.500]]
}

---

{
  "formula": "BaLa",
  "functional": "PBE",
  "state": "relaxed",
  "polymorph_energy_kj_per_mol_fu": 41,
  "formation_energy_ev_per_atom": 0.310,
  "space_group": "P2_13, No. 198",
  "magnetic_moment_mub_per_cell": 0.000,
  "lattice_angstrom": [[7.168, 0.000, 0.000], [0.000, 7.168, 0.000], [0.000, 0.000, 7.168]],
  "species": ["Ba", "Ba", "Ba", "Ba", "La", "La", "La", "La"],
  "frac_coords": [[0.096, 0.596, 0.904], [0.404, 0.404, 0.404], [0.904, 0.096, 0.596], [0.596, 0.904, 0.096], [0.394, 0.894, 0.606], [0.106, 0.106, 0.106], [0.606, 0.394, 0.894], [0.894, 0.606, 0.394]]
}

---

{
  "formula": "Pm2Dy2InGa4",
  "functional": "PBE",
  "state": "relaxed",
  "formation_energy_ev_per_atom": -0.144,
  "space_group": "I4/mmm, No. 139",
  "magnetic_moment_mub_per_cell": 0.001,
  "lattice_angstrom": [[-4.008, -5.518, 0.803], [2.961, 0.882, -6.133], [5.908, 0.143, 3.498]],
  "species": ["Pm", "Pm", "Dy", "Dy", "In", "Ga", "Ga", "Ga", "Ga"],
  "frac_coords": [[0.000, 0.687, 0.687], [0.000, 0.313, 0.313], [0.500, 0.750, 0.250], [0.500, 0.250, 0.750], [0.000, 0.000, 0.000], [0.000, 0.741, 0.259], [0.482, 0.741, 0.741], [0.000, 0.259, 0.741], [0.518, 0.259, 0.259]]
}

---

{
  "formula": "NdSmCuAg",
  "functional": "PBE",
  "state": "relaxed",
  "polymorph_energy_kj_per_mol_fu": 0,
  "formation_energy_ev_per_atom": -0.214,
  "space_group": "P4mm, No. 99",
  "magnetic_moment_mub_per_cell": 0.000,
  "lattice_angstrom": [[-1.692, 2.213, 2.351], [0.461, -2.462, 2.649], [6.434, 3.073, 1.736]],
  "species": ["Nd", "Sm", "Cu", "Ag"],
  "frac_coords": [[0.500, 0.500, 0.120], [0.500, 0.500, 0.593], [0.000, 0.000, 0.365], [0.000, 0.000, 0.849]]
}

---

{
  "formula": "MoRh2Br",
  "functional": "PBE",
  "state": "relaxed",
  "formation_energy_uncorrected_ev_per_atom": 0.397,
  "polymorph_energy_kj_per_mol_fu": 87,
  "space_group": "R3m, No. 160",
  "magnetic_moment_mub_per_cell": 0.794,
  "lattice_angstrom": [[-7.916, -2.776, 2.742], [-7.500, -4.623, 0.510], [-6.375, -5.233, 3.142]],
  "species": ["Mo", "Rh", "Rh", "Br"],
  "frac_coords": [[0.750, 0.750, 0.750], [0.003, 0.003, 0.003], [0.251, 0.251, 0.251], [0.496, 0.496, 0.496]]
}

---

{
  "formula": "NdIBr",
  "functional": "PBE",
  "state": "relaxed",
  "formation_energy_uncorrected_ev_per_atom": -1.506,
  "polymorph_energy_kj_per_mol_fu": 0,
  "space_group": "Cm, No. 8",
  "magnetic_moment_mub_per_cell": 1.005,
  "lattice_angstrom": [[-3.021, -1.543, 2.352], [0.229, -1.016, -3.995], [4.033, -7.301, 0.387]],
  "species": ["Nd", "I", "Br"],
  "frac_coords": [[0.808, 0.844, 0.475], [0.072, 0.372, 0.736], [0.202, 0.632, 0.246]]
}

---

| no. | total energy (eV per atom) |
| --- | --- |
| 1 | -3.10 |
| 2 | -3.11 |
| 3 | -3.87 |
| 4 | -4.32 |
| 5 | -6.40 |
| 6 | -4.17 |